Record 1
Computed, not measured: crystalline K2RbNdBr6 at its relaxed geometry at the PBE level of DFT.

Cell: 12.2548 12.2548 12.2548 Å, 90.00 90.00 90.00°
Closest atoms and distances in Å follow each position.
Space group Fm-3m (No. 225)
Unique sites:
K (0.2500, 0.2500, 0.2500) [8 per cell]  12 Br 4.34
Rb (0.0000, 0.0000, 0.0000) [4 per cell]  6 Br 3.25
Nd (0.0000, 0.0000, 0.5000) [4 per cell]  6 Br 2.88
Br (0.0000, 0.0000, 0.2651) [24 per cell]  1 Nd 2.88

Results
VASP energy   -3.51 eV/atom
Formation energy from raw total energies   -1.72 eV per atom
N(E_F)   0.0 states/eV per cell
Crystal system   cubic
Offset from the most stable computed form   0.1042 eV per atom


Record 2
Computed, not measured: crystalline K2RbNdBr6 at its relaxed geometry at the PBE level of DFT.

Cell: 8.2448 8.2448 21.7175 Å, 90.00 90.00 120.00°
Closest atoms and distances in Å follow each position.
Space group R3 (No. 146, hexagonal axes)
Unique sites:
K (0.0000, 0.0000, 0.0000) [3 per cell]  6 Br 3.27-3.42
K (0.0000, 0.0000, 0.4897) [3 per cell]  6 Br 3.36-3.42
Rb (0.0000, 0.0000, 0.2035) [3 per cell]  6 Br 3.39-3.56
Nd (0.0000, 0.0000, 0.6934) [3 per cell]  6 Br 2.91-2.93
Br (0.0005, 0.7255, 0.6079) [9 per cell]  1 Nd 2.93, 1 K 3.27
Br (0.0165, 0.3835, 0.4299) [9 per cell]  1 Nd 2.91

Results
VASP energy   -3.62 eV/atom
Formation energy from raw total energies   -1.82 eV per atom
N(E_F)   0.0 states/eV per cell
Crystal system   trigonal
Offset from the most stable computed form   0.0000 eV per atom


Record 3
Computed, not measured: crystalline KNdSBr at its relaxed geometry at the PBE level of DFT.

Cell: 4.1272 4.1272 24.0421 Å, 90.00 90.00 120.00°
Closest atoms and distances in Å follow each position.
Space group R3m (No. 160, hexagonal axes)
Unique sites:
K (0.0000, 0.0000, 0.0000) [3 per cell]  3 S 3.07
Nd (0.0000, 0.0000, 0.8112) [3 per cell]  3 S 2.83, 3 Br 3.13
S (0.0000, 0.0000, 0.4141) [3 per cell]  3 Nd 2.83, 3 K 3.07
Br (0.0000, 0.0000, 0.2289) [3 per cell]  3 Nd 3.13, 3 K 3.46

Results
VASP energy   -4.50 eV/atom
Formation energy from raw total energies   -1.58 eV per atom
N(E_F)   7.3 states/eV per cell
Crystal system   trigonal


Record 4
Computed, not measured: crystalline KNdSeBr at its relaxed geometry at the PBE level of DFT.

Cell: 4.2254 4.2254 24.4556 Å, 90.00 90.00 120.00°
Closest atoms and distances in Å follow each position.
Space group R3m (No. 160, hexagonal axes)
Unique sites:
K (0.0000, 0.0000, 0.0000) [3 per cell]  3 Se 3.17, 3 Br 3.48
Nd (0.0000, 0.0000, 0.8172) [3 per cell]  3 Se 2.94, 3 Br 3.15
Se (0.0000, 0.0000, 0.4164) [3 per cell]  3 Nd 2.94, 3 K 3.17
Br (0.0000, 0.0000, 0.2319) [3 per cell]  3 Nd 3.15, 3 K 3.48

Results
VASP energy   -4.28 eV/atom
Formation energy from raw total energies   -1.52 eV per atom
N(E_F)   7.5 states/eV per cell
Crystal system   trigonal


Record 5
Computed, not measured: crystalline KSr2NdBr8 at its relaxed geometry at the PBE level of DFT.

Cell: 6.9260 9.4658 7.2582 Å, 90.00 90.10 90.00°
Closest atoms and distances in Å follow each position.
Space group P2/m (No. 10)
Unique sites:
K (0.0000, 0.0000, 0.0000) [1 per cell]  6 Br 3.22-3.31
Sr (0.5000, 0.2492, 0.5000) [2 per cell]  6 Br 3.03-3.17
Nd (0.0000, 0.5000, 0.0000) [1 per cell]  6 Br 2.89-2.98
Br (0.2355, 0.2790, 0.1596) [4 per cell]  1 Nd 2.89, 1 Sr 3.09
Br (0.2566, 0.5000, 0.6712) [2 per cell]  1 Nd 2.98, 2 Sr 3.17
Br (0.2636, 0.0000, 0.6348) [2 per cell]  2 Sr 3.03, 1 K 3.22

Results
VASP energy   -3.85 eV/atom
Formation energy from raw total energies   -1.96 eV per atom
N(E_F)   0.0 states/eV per cell
Crystal system   monoclinic


Record 6
Computed, not measured: crystalline K2NdTlBr6 at its relaxed geometry at the PBE level of DFT.

Cell: 8.1676 8.1752 8.5481 Å, 90.05 118.50 119.96°
Closest atoms and distances in Å follow each position.
Space group P1 (No. 1)
Unique sites:
K (0.0000, 0.0000, 0.0000) [1 per cell]  6 Br 3.34-3.43
K (0.0197, 0.5103, 0.5296) [1 per cell]  6 Br 3.29-3.40
Nd (0.4102, 0.2052, 0.6155) [1 per cell]  6 Br 2.90-2.93
Tl (0.4292, 0.7146, 0.1443) [1 per cell]  6 Br 3.27-3.46
Br (0.2523, 0.4053, 0.3577) [1 per cell]  1 Nd 2.93, 1 Tl 3.27
Br (0.2741, 0.3181, 0.8303) [1 per cell]  1 Nd 2.90
Br (0.5112, 0.1057, 0.3577) [1 per cell]  1 Nd 2.93, 1 Tl 3.27
Br (0.5120, 0.9567, 0.8303) [1 per cell]  1 Nd 2.90
Br (0.8733, 0.5555, 0.8305) [1 per cell]  1 Nd 2.90
Br (0.9523, 0.8473, 0.3578) [1 per cell]  1 Nd 2.93, 1 Tl 3.27

Results
VASP energy   -3.58 eV/atom
Formation energy from raw total energies   -1.64 eV per atom
N(E_F)   0.0 states/eV per cell
Crystal system   triclinic


Record 7
Computed, not measured: crystalline KNi2Br at its relaxed geometry at the PBE level of DFT.

Cell: 4.8815 4.8815 6.9328 Å, 90.00 90.00 90.00°
Closest atoms and distances in Å follow each position.
Space group I-4m2 (No. 119)
Unique sites:
K (0.0000, 0.0000, 0.0000) [2 per cell]  4 Br 2.99, 4 Ni 2.99
Ni (0.0000, 0.0000, 0.5000) [2 per cell]  4 Br 2.99, 4 Ni 2.99
Ni (0.0000, 0.5000, 0.7500) [2 per cell]  4 K 2.99, 4 Ni 2.99
Br (0.0000, 0.5000, 0.2500) [2 per cell]  4 K 2.99, 4 Ni 2.99

Results
VASP energy   -2.87 eV/atom
Formation energy from raw total energies   0.71 eV per atom
N(E_F)   21.9 states/eV per cell
Crystal system   tetragonal
Offset from the most stable computed form   0.5750 eV per atom


Record 8
Computed, not measured: crystalline KNiBr at its relaxed geometry at the PBE level of DFT.

Cell: 15.7674 5.0136 4.4819 Å, 90.00 94.89 90.00°
Closest atoms and distances in Å follow each position.
Space group Cm (No. 8)
Unique sites:
K (0.0000, 0.0000, 0.0000) [2 per cell]  4 Ni 3.24-3.53, 4 Br 3.50-3.55
K (0.2410, 0.5000, 0.0468) [2 per cell]  2 Ni 3.25, 6 Br 3.35-3.59
Ni (0.3700, 0.0000, 0.9949) [2 per cell]  2 Ni 2.32-2.43, 1 Br 2.41
Ni (0.4203, 0.0000, 0.4969) [2 per cell]  2 Br 2.26-2.30, 2 Ni 2.32-2.43
Br (0.0666, 0.5000, 0.5111) [2 per cell]  1 Ni 2.30
Br (0.2781, 0.0000, 0.5372) [2 per cell]  2 Ni 2.26-2.41

Results
VASP energy   -3.25 eV/atom
Formation energy from raw total energies   -0.40 eV per atom
N(E_F)   7.5 states/eV per cell
Crystal system   monoclinic
Offset from the most stable computed form   0.0284 eV per atom


Record 9
Computed, not measured: crystalline KNi2Br at its relaxed geometry at the PBE level of DFT.

Cell: 3.3999 3.3999 25.8597 Å, 90.00 90.00 120.00°
Closest atoms and distances in Å follow each position.
Space group R-3m (No. 166, hexagonal axes)
Unique sites:
K (0.0000, 0.0000, 0.0000) [3 per cell]  6 Ni 3.38, 6 K 3.40
Ni (0.0000, 0.0000, 0.2268) [6 per cell]  3 Br 2.50
Br (0.0000, 0.0000, 0.5000) [3 per cell]  6 Ni 2.50

Results
VASP energy   -2.83 eV/atom
Formation energy from raw total energies   0.76 eV per atom
N(E_F)   11.2 states/eV per cell
Crystal system   trigonal
Offset from the most stable computed form   0.6218 eV per atom


Record 10
Computed, not measured: crystalline KNi2Br at its relaxed geometry at the PBE level of DFT.

Cell: 5.0569 5.0569 15.2668 Å, 90.00 90.00 90.00°
Closest atoms and distances in Å follow each position.
Space group I4_1/amd (No. 141, origin choice 2)
Unique sites:
K (0.0000, 0.2500, 0.3750) [4 per cell]  8 Ni 3.41, 4 Br 3.58
Ni (0.0000, 0.0000, 0.0000) [8 per cell]  2 Br 2.29, 2 Ni 2.53
Br (0.0000, 0.2500, 0.8750) [4 per cell]  4 Ni 2.29

Results
VASP energy   -3.35 eV/atom
Formation energy from raw total energies   0.23 eV per atom
N(E_F)   3.7 states/eV per cell
Crystal system   tetragonal
Offset from the most stable computed form   0.0974 eV per atom


Record 11
Computed, not measured: crystalline KNiBr at its relaxed geometry at the PBE level of DFT.

Cell: 8.5307 9.7045 4.6794 Å, 90.00 107.70 90.00°
Closest atoms and distances in Å follow each position.
Space group Cm (No. 8)
Unique sites:
K (0.0000, 0.2327, 0.0000) [4 per cell]  3 Ni 3.23-3.39, 3 Br 3.32-3.35
Ni (0.1894, 0.0000, 0.5354) [2 per cell]  2 Br 2.26-2.30, 1 Ni 2.33
Ni (0.2785, 0.0000, 0.0574) [2 per cell]  1 Br 2.30, 2 Ni 2.33-2.57
Br (0.4094, 0.5000, 0.4456) [2 per cell]  1 Ni 2.30
Br (0.4551, 0.0000, 0.5405) [2 per cell]  2 Ni 2.26-2.30

Results
VASP energy   -3.25 eV/atom
Formation energy from raw total energies   -0.40 eV per atom
N(E_F)   0.0 states/eV per cell
Crystal system   monoclinic
Offset from the most stable computed form   0.0318 eV per atom


Record 12
Computed, not measured: crystalline KNi4Br at its relaxed geometry at the PBE level of DFT.

Cell: 7.3176 7.3176 7.3176 Å, 90.00 90.00 90.00°
Closest atoms and distances in Å follow each position.
Space group F-43m (No. 216)
Unique sites:
K (0.0000, 0.0000, 0.0000) [4 per cell]  12 Ni 3.03, 4 Br 3.17
Ni (0.1248, 0.1248, 0.6248) [16 per cell]  6 Ni 2.58-2.59
Br (0.2500, 0.2500, 0.2500) [4 per cell]  12 Ni 3.03, 4 K 3.17

Results
VASP energy   -3.73 eV/atom
Formation energy from raw total energies   0.59 eV per atom
N(E_F)   62.2 states/eV per cell
Crystal system   cubic